First-principles (PBE-GGA) data for an optimized crystal structure of BaSiTe, as listed in the Alexandria database.

Cell lengths 4.8917, 4.8917, 4.7664 Å; angles 90.00, 90.00, 120.00 degrees
Space group P3m1 (No. 156)
Symmetry-distinct sites (fractional):
Ba1 0.0000 0.0000 0.0000 x1
Si1 0.6667 0.3333 0.4478 x1
Te1 0.3333 0.6667 0.5307 x1

N(E_F), states/eV per cell: 1.39
ΔE_f (raw), eV per atom: -0.479

First-principles (PBE-GGA) data for an optimized crystal structure of Ba2SiTe, as listed in the Alexandria database.

Cell lengths 7.786, 8.935, 4.098 Å; angles 90.00, 90.00, 90.00 degrees
Space group Cmmm (No. 65)
Symmetry-distinct sites (fractional):
Ba1 0.250 0.250 0.000 x4
Si1 0.000 0.000 0.500 x2
Te1 0.000 0.500 0.500 x2

N(E_F), states/eV per cell: 4.43
ΔE_f (raw), eV per atom: -0.709

Number 1: energy relative to the lowest polymorph listed for this composition 0.000 eV per atom, raw total energy -3.97 eV/atom, spin magnetization 0.000 μB per atom. Number 2: energy relative to the lowest polymorph listed for this composition 0.031 eV per atom, raw total energy -3.81 eV/atom, spin magnetization 0.000 μB per atom.